[1]
The following is a DFT calculation (PBE-GGA) of crystalline ThPtPb2 at its relaxed geometry.

a = 10.8006 Å, b = 10.8006 Å, c = 10.8006 Å
α = 18.80°, β = 18.80°, γ = 18.80°
Positions (direct):
Th1 0.0000 0.0000 0.0000
Pt1 0.5000 0.5000 0.5000
Pb1 0.1042 0.1042 0.1042
Pb2 0.8958 0.8958 0.8958

## Properties
E_tot in eV per cell: -20.486


[2]
The following is a DFT calculation (PBE-GGA) of crystalline Pm2NdTmSc at its relaxed geometry.

a = 7.0256 Å, b = 7.0256 Å, c = 7.1834 Å
α = 90.00°, β = 90.00°, γ = 108.25°
Positions (direct):
Pm1 0.1992 0.1992 0.0000
Pm2 0.1992 0.1992 0.5000
Pm3 0.8008 0.8008 0.0000
Pm4 0.8008 0.8008 0.5000
Nd1 0.2288 0.7712 0.7500
Nd2 0.7712 0.2288 0.2500
Tm1 0.2387 0.7613 0.2500
Tm2 0.7613 0.2387 0.7500
Sc1 0.4913 0.5087 0.7500
Sc2 0.5087 0.4913 0.2500

## Properties
E_tot in eV per cell: -46.655


[3]
The following is a DFT calculation (PBE-GGA) of crystalline CdReRh3 at its relaxed geometry.

a = 4.7449 Å, b = 4.7449 Å, c = 4.7449 Å
α = 90.00°, β = 90.00°, γ = 90.00°
Positions (direct):
Cd1 0.0000 0.0000 0.0000
Re1 0.5000 0.5000 0.5000
Rh1 0.0000 0.0000 0.5000
Rh2 0.0000 0.5000 0.0000
Rh3 0.5000 0.0000 0.0000

## Properties
Energy relative to the lowest polymorph listed for this composition in eV/atom: 1.258


[4]
The following is a DFT calculation (PBE-GGA) of crystalline TlCuSe2 at its relaxed geometry.

a = 4.8995 Å, b = 3.7675 Å, c = 6.0203 Å
α = 90.00°, β = 90.05°, γ = 90.00°
Positions (direct):
Tl1 0.0000 0.0000 0.0000
Cu1 0.5000 0.0000 0.5000
Se1 0.4992 0.5000 0.2550
Se2 0.5008 0.5000 0.7450

## Properties
Formation energy from raw total energies in eV/atom: -0.192


[5]
The following is a DFT calculation (PBE-GGA) of crystalline Ta2TlPb at its relaxed geometry.

a = 3.1094 Å, b = 4.9085 Å, c = 5.6247 Å
α = 90.00°, β = 95.37°, γ = 90.00°
Positions (direct):
Ta1 0.2390 0.0000 0.2443
Ta2 0.7610 0.0000 0.7557
Tl1 0.5000 0.5000 0.0000
Pb1 0.0000 0.5000 0.5000

## Properties
Energy relative to the lowest polymorph listed for this composition in eV/atom: 0.271


[6]
The following is a DFT calculation (PBE-GGA) of crystalline TbGe2Ir at its relaxed geometry.

a = 6.7027 Å, b = 4.3486 Å, c = 10.2140 Å
α = 90.00°, β = 90.00°, γ = 90.00°
Positions (direct):
Tb1 0.2299 0.2500 0.1814
Tb2 0.2701 0.7500 0.6814
Tb3 0.7299 0.2500 0.3186
Tb4 0.7701 0.7500 0.8186
Ge1 0.0366 0.7500 0.3364
Ge2 0.2453 0.2500 0.4732
Ge3 0.2547 0.7500 0.9732
Ge4 0.4634 0.2500 0.8364
Ge5 0.5366 0.7500 0.1636
Ge6 0.7453 0.2500 0.0268
Ge7 0.7547 0.7500 0.5268
Ge8 0.9634 0.2500 0.6636
Ir1 0.0895 0.2500 0.9025
Ir2 0.4105 0.7500 0.4025
Ir3 0.5895 0.2500 0.5975
Ir4 0.9105 0.7500 0.0975

## Properties
E_tot in eV per cell: -101.909


[7]
The following is a DFT calculation (PBE-GGA) of crystalline SiP7 at its relaxed geometry.

a = 5.4932 Å, b = 5.4932 Å, c = 5.4932 Å
α = 60.00°, β = 60.00°, γ = 60.00°
Positions (direct):
Si1 0.0000 0.0000 0.0000
P1 0.0000 0.0000 0.5000
P2 0.0000 0.5000 0.0000
P3 0.0000 0.5000 0.5000
P4 0.5000 0.0000 0.0000
P5 0.5000 0.0000 0.5000
P6 0.5000 0.5000 0.0000
P7 0.5000 0.5000 0.5000

## Properties
Formation energy from raw total energies in eV/atom: 0.846


[8]
The following is a DFT calculation (PBE-GGA) of crystalline BaAgBrF2 at its relaxed geometry.

a = 7.2282 Å, b = 7.2282 Å, c = 6.1553 Å
α = 90.00°, β = 90.00°, γ = 132.26°
Positions (direct):
Ba1 0.1126 0.8874 0.7500
Ba2 0.8874 0.1126 0.2500
Ag1 0.4106 0.5894 0.7500
Ag2 0.5894 0.4106 0.2500
Br1 0.2400 0.7600 0.2500
Br2 0.7600 0.2400 0.7500
F1 0.2486 0.2486 0.0000
F2 0.2486 0.2486 0.5000
F3 0.7514 0.7514 0.0000
F4 0.7514 0.7514 0.5000

## Properties
Formation energy from raw total energies in eV/atom: -2.215


Number 1: D(E_F) 4.35 states/eV/cell. Number 2: D(E_F) 13.17 states/eV/cell. Number 3: D(E_F) 7.48 states/eV/cell. Number 4: D(E_F) 1.98 states/eV/cell. Number 5: D(E_F) 2.03 states/eV/cell. Number 6: D(E_F) 3.37 states/eV/cell. Number 7: D(E_F) 6.38 states/eV/cell. Number 8: D(E_F) 0.00 states/eV/cell.